1.
CaZr2Ru: PBEsol geometry, SCAN.

```
CaZr2Ru
1.0
3.2787 0.0000 0.0000
0.0000 3.2787 0.0000
0.0000 0.0000 8.0623
Ca Zr Ru
1 2 1
Direct
0.0000 0.0000 0.0000
0.0000 0.0000 0.4095
0.5000 0.5000 0.6586
0.5000 0.5000 0.2410
```

Values from the calculation:
formation enthalpy at 0 K = -114 meV/atom
energy above the most stable polymorph in this dataset = 0 meV per atom

---

2.
CaZrRu: PBEsol geometry, SCAN.

```
CaZrRu
1.0
0.0000 3.2305 3.2305
3.2305 0.0000 3.2305
3.2305 3.2305 0.0000
Ca Zr Ru
1 1 1
Direct
0.0000 0.0000 0.0000
0.5000 0.5000 0.5000
0.2500 0.2500 0.2500
```

Values from the calculation:
formation enthalpy at 0 K = 81 meV/atom

---

3.
CaZr2Ru: PBEsol geometry, SCAN.

```
CaZr2Ru
1.0
3.1321 0.0000 0.0000
0.0000 3.1321 0.0000
0.0000 0.0000 9.2989
Ca Zr Ru
1 2 1
Direct
0.0000 0.0000 0.0000
0.5000 0.5000 0.3216
0.5000 0.5000 0.6784
0.0000 0.0000 0.5000
```

Values from the calculation:
formation enthalpy at 0 K = -107 meV/atom
energy above the most stable polymorph in this dataset = 7 meV per atom

---

4.
Ca2Sb2S5: PBEsol geometry, SCAN.

```
Ca2Sb2S5
1.0
14.8901 0.0000 0.0000
0.0000 5.6329 0.0000
-4.1149 0.0000 10.4471
Ca Sb S
8 8 20
Direct
0.1059 0.2307 0.3048
0.1059 0.2693 0.8048
0.3350 0.2368 0.1669
0.3350 0.2632 0.6669
0.6650 0.7368 0.3331
0.6650 0.7632 0.8331
0.8941 0.7307 0.1952
0.8941 0.7693 0.6952
0.1218 0.7407 0.5707
0.1218 0.7593 0.0707
0.3814 0.6594 0.9426
0.3814 0.8406 0.4426
0.6186 0.1594 0.5574
0.6186 0.3406 0.0574
0.8782 0.2407 0.9293
0.8782 0.2593 0.4293
0.0995 0.7324 0.2819
0.0995 0.7676 0.7819
0.1173 0.2036 0.0601
0.1173 0.2964 0.5601
0.2994 0.7377 0.1560
0.2994 0.7623 0.6560
0.3053 0.2343 0.4026
0.3053 0.2657 0.9026
0.4995 0.0067 0.6542
0.4995 0.4933 0.1542
0.5005 0.5067 0.8458
0.5005 0.9933 0.3458
0.6947 0.7343 0.0974
0.6947 0.7657 0.5974
0.7006 0.2377 0.3440
0.7006 0.2623 0.8440
0.8827 0.7036 0.4399
0.8827 0.7964 0.9399
0.9005 0.2324 0.2181
0.9005 0.2676 0.7181
```

Values from the calculation:
E_form (uncorrected) = -1.229 eV per atom

---

5.
CaScTa2S: PBEsol geometry, SCAN.

```
CaScTa2S
1.0
4.6131 0.0000 0.0000
0.0000 4.6131 0.0000
0.0000 0.0000 5.2165
Ca Sc Ta S
1 1 2 1
Direct
0.0000 0.0000 0.0000
0.0000 0.0000 0.5000
0.0000 0.5000 0.0000
0.5000 0.0000 0.0000
0.5000 0.5000 0.5000
```

Values from the calculation:
E_form (uncorrected) = 2.363 eV per atom

---

6.
CaSe3S: PBEsol geometry, SCAN.

```
CaSe3S
1.0
5.3351 0.0000 0.0000
0.0000 5.3351 0.0000
0.0000 0.0000 5.3351
Ca Se S
1 3 1
Direct
0.0000 0.0000 0.0000
0.0000 0.0000 0.5000
0.0000 0.5000 0.0000
0.5000 0.0000 0.0000
0.5000 0.5000 0.5000
```

Values from the calculation:
E_form (uncorrected) = 0.465 eV per atom

---

7.
CaSiS3: PBEsol geometry, SCAN.

```
CaSiS3
1.0
4.5587 0.0000 0.0000
0.0000 4.5587 0.0000
0.0000 0.0000 4.5587
Ca Si S
1 1 3
Direct
0.0000 0.0000 0.0000
0.5000 0.5000 0.5000
0.0000 0.5000 0.5000
0.5000 0.0000 0.5000
0.5000 0.5000 0.0000
```

Values from the calculation:
E_form (uncorrected) = -0.872 eV per atom

---

8.
CaSm2S4: PBEsol geometry, SCAN.

```
CaSm2S4
1.0
-4.1758 4.1758 4.1961
4.1758 -4.1758 4.1961
4.1758 4.1758 -4.1961
Ca Sm S
2 4 8
Direct
0.0000 0.0000 0.0000
0.7500 0.2500 0.5000
0.2469 0.1250 0.6219
0.3750 0.7531 0.8781
0.5031 0.6250 0.3781
0.8750 0.4969 0.1219
0.1277 0.3791 0.8992
0.1291 0.3777 0.3992
0.2701 0.8709 0.2486
0.4799 0.2285 0.1008
0.6209 0.5201 0.7486
0.6223 0.0215 0.7514
0.7715 0.8723 0.2514
0.9785 0.7299 0.6008
```

Values from the calculation:
E_form (uncorrected) = -2.373 eV per atom